Entry 1:
InCuNiOs: relaxed, PBE.

Unit cell a=4.363 b=4.363 c=4.363 alpha=60.00 beta=60.00 gamma=60.00
Positions (direct):
In1 0.000 0.000 0.000
Cu1 0.250 0.250 0.250
Ni1 0.500 0.500 0.500
Os1 0.750 0.750 0.750

Output
excess energy over the best structure of this formula in the dataset: 0.056 eV per atom



Entry 2:
InCuNiPb: relaxed, PBE.

Unit cell a=4.768 b=4.768 c=4.768 alpha=60.00 beta=60.00 gamma=60.00
Positions (direct):
In1 0.000 0.000 0.000
Cu1 0.500 0.500 0.500
Ni1 0.750 0.750 0.750
Pb1 0.250 0.250 0.250

Output
excess energy over the best structure of this formula in the dataset: 0.203 eV per atom



Entry 3:
InCuNiPb: relaxed, PBE.

Unit cell a=4.693 b=4.693 c=4.693 alpha=60.00 beta=60.00 gamma=60.00
Positions (direct):
In1 0.000 0.000 0.000
Cu1 0.750 0.750 0.750
Ni1 0.250 0.250 0.250
Pb1 0.500 0.500 0.500

Output
excess energy over the best structure of this formula in the dataset: 0.000 eV per atom



Repeat the second record exactly.
InCuNiPb: relaxed, PBE.

Unit cell a=4.768 b=4.768 c=4.768 alpha=60.00 beta=60.00 gamma=60.00
Positions (direct):
In1 0.000 0.000 0.000
Cu1 0.500 0.500 0.500
Ni1 0.750 0.750 0.750
Pb1 0.250 0.250 0.250

Output
excess energy over the best structure of this formula in the dataset: 0.203 eV per atom